Record 1
KMnGa2Hg: optimized geometry, PBE-GGA.

Values from the calculation:
Formation enthalpy at 0 K ... 0.03 eV per atom
Total energy ... -16.47 eV per cell
D(E_F) ... 0.59 states/eV/atom
Calculated volume ... 24.24 Å³/atom

a b c (Å): 4.787 4.787 5.290
angles (deg): 90.00 90.00 90.00
Space group P4/mmm (No. 123)
Asymmetric unit:
K  0.000  0.000  0.000 [1 per cell]
Mn  0.500  0.500  0.500 [1 per cell]
Ga  0.000  0.500  0.500 [2 per cell]
Hg  0.500  0.500  0.000 [1 per cell]

---

Record 2
K2GaHgMo: optimized geometry, PBE-GGA.

Values from the calculation:
Formation enthalpy at 0 K ... 1.03 eV per atom
Total energy ... -11.18 eV per cell
D(E_F) ... 0.82 states/eV/atom
Calculated volume ... 43.82 Å³/atom

a b c (Å): 6.336 6.336 5.457
angles (deg): 90.00 90.00 90.00
Space group P4/mmm (No. 123)
Asymmetric unit:
K  0.000  0.500  0.000 [2 per cell]
Ga  0.000  0.000  0.500 [1 per cell]
Hg  0.500  0.500  0.000 [1 per cell]
Mo  0.500  0.500  0.500 [1 per cell]

---

Record 3
KNa2GaHg: optimized geometry, PBE-GGA.

Values from the calculation:
Formation enthalpy at 0 K ... -0.05 eV per atom
Total energy ... -7.30 eV per cell
D(E_F) ... 0.32 states/eV/atom
Calculated volume ... 36.13 Å³/atom
Energy relative to the lowest polymorph listed for this composition ... 0.000 eV per atom

a b c (Å): 5.793 5.793 5.384
angles (deg): 90.00 90.00 90.00
Space group P4/mmm (No. 123)
Asymmetric unit:
K  0.000  0.000  0.000 [1 per cell]
Na  0.000  0.500  0.500 [2 per cell]
Ga  0.500  0.500  0.500 [1 per cell]
Hg  0.500  0.500  0.000 [1 per cell]

---

Record 4
KNa2GaHg: optimized geometry, PBE-GGA.

Values from the calculation:
Formation enthalpy at 0 K ... 0.14 eV per atom
Total energy ... -6.35 eV per cell
D(E_F) ... 0.68 states/eV/atom
Calculated volume ... 42.71 Å³/atom
Energy relative to the lowest polymorph listed for this composition ... 0.189 eV per atom

a b c (Å): 5.762 5.762 6.432
angles (deg): 90.00 90.00 90.00
Space group P4/mmm (No. 123)
Asymmetric unit:
K  0.000  0.000  0.000 [1 per cell]
Na  0.000  0.500  0.500 [2 per cell]
Ga  0.000  0.000  0.500 [1 per cell]
Hg  0.500  0.500  0.000 [1 per cell]

---

Record 5
KNa2GaHg: optimized geometry, PBE-GGA.

Values from the calculation:
Formation enthalpy at 0 K ... -0.02 eV per atom
Total energy ... -7.19 eV per cell
D(E_F) ... 0.52 states/eV/atom
Calculated volume ... 36.62 Å³/atom
Energy relative to the lowest polymorph listed for this composition ... 0.022 eV per atom

a b c (Å): 5.867 5.867 5.319
angles (deg): 90.00 90.00 90.00
Space group P4/mmm (No. 123)
Asymmetric unit:
K  0.000  0.000  0.000 [1 per cell]
Na  0.000  0.500  0.500 [2 per cell]
Ga  0.500  0.500  0.000 [1 per cell]
Hg  0.500  0.500  0.500 [1 per cell]

---

Record 6
K2NaGaHg6: optimized geometry, PBE-GGA.

Values from the calculation:
Formation enthalpy at 0 K ... -0.08 eV per atom
Total energy ... -36.52 eV per cell
D(E_F) ... 0.63 states/eV/atom
Calculated volume ... 36.04 Å³/atom

a b c (Å): 11.297 11.297 11.297
angles (deg): 90.00 90.00 90.00
Space group Fm-3m (No. 225)
Asymmetric unit:
K  0.250  0.250  0.250 [8 per cell]
Na  0.000  0.000  0.000 [4 per cell]
Ga  0.000  0.000  0.500 [4 per cell]
Hg  0.000  0.000  0.255 [24 per cell]

---

Among the records above, which one has the highest calculated volume?
K2GaHgMo

---

Which of these has the highest D(E_F)?
K2GaHgMo